1.
{"formula": "CsTi3Os", "functional": "PBE", "state": "optimized geometry", "lattice_angstrom": [[-0.632, -3.003, 3.910], [4.893, -0.860, 0.130], [0.598, 3.866, 3.066]], "species": ["Cs", "Os", "Ti", "Ti", "Ti"], "fractional_positions": [[0.500, 0.500, 0.500], [0.000, 0.000, 0.000], [0.000, 0.500, 0.000], [0.000, 0.000, 0.500], [0.500, 0.000, 0.000]], "spacegroup": "Pm-3m", "de_polymorph_ev_per_atom": 0.0000}


2.
{"formula": "Cs2TiOs2", "functional": "PBE", "state": "optimized geometry", "lattice_angstrom": [[3.518, 0.000, 0.000], [0.000, 3.518, 0.000], [1.759, 1.759, 13.217]], "species": ["Cs", "Cs", "Os", "Os", "Ti"], "fractional_positions": [[0.371, 0.371, 0.258], [0.629, 0.629, 0.742], [0.750, 0.250, 0.500], [0.250, 0.750, 0.500], [0.000, 0.000, 0.000]], "spacegroup": "I4/mmm"}


3.
{"formula": "CsTiOs3", "functional": "PBE", "state": "optimized geometry", "lattice_angstrom": [[-1.667, -4.042, 2.111], [2.647, 0.972, 3.952], [-3.713, 2.508, 1.870]], "species": ["Cs", "Os", "Os", "Os", "Ti"], "fractional_positions": [[0.000, 0.000, 0.000], [0.000, 0.500, 0.000], [0.000, 0.000, 0.500], [0.500, 0.000, 0.000], [0.500, 0.500, 0.500]], "spacegroup": "Pm-3m", "de_polymorph_ev_per_atom": 1.6102}


4.
{"formula": "CsTi3Os", "functional": "PBE", "state": "optimized geometry", "lattice_angstrom": [[-1.666, -4.296, -1.347], [0.331, -1.549, 4.531], [-4.490, 1.479, 0.834]], "species": ["Cs", "Ti", "Ti", "Ti", "Os"], "fractional_positions": [[0.000, 0.000, 0.000], [0.000, 0.500, 0.000], [0.000, 0.000, 0.500], [0.500, 0.000, 0.000], [0.500, 0.500, 0.500]], "spacegroup": "Pm-3m", "de_polymorph_ev_per_atom": 1.7785}


5.
{"formula": "Cs3TlOs", "functional": "PBE", "state": "optimized geometry", "lattice_angstrom": [[6.208, 0.000, 0.000], [0.000, 6.208, 0.000], [0.000, 0.000, 6.208]], "species": ["Cs", "Cs", "Cs", "Tl", "Os"], "fractional_positions": [[0.000, 0.500, 0.000], [0.000, 0.000, 0.500], [0.500, 0.000, 0.000], [0.500, 0.500, 0.500], [0.000, 0.000, 0.000]], "spacegroup": "Pm-3m", "de_polymorph_ev_per_atom": 0.0000}


6.
{"formula": "CsTlOs3", "functional": "PBE", "state": "optimized geometry", "lattice_angstrom": [[5.083, 0.000, 0.000], [0.000, 5.083, 0.000], [0.000, 0.000, 5.083]], "species": ["Cs", "Tl", "Os", "Os", "Os"], "fractional_positions": [[0.000, 0.000, 0.000], [0.500, 0.500, 0.500], [0.000, 0.500, 0.000], [0.000, 0.000, 0.500], [0.500, 0.000, 0.000]], "spacegroup": "Pm-3m"}


7.
{"formula": "CsTl2VOs", "functional": "PBE", "state": "optimized geometry", "lattice_angstrom": [[5.603, 0.000, 0.000], [0.000, 4.544, 0.000], [0.000, 0.000, 5.603]], "species": ["Cs", "Tl", "Tl", "Os", "V"], "fractional_positions": [[0.500, 0.500, 0.500], [0.000, 0.000, 0.500], [0.500, 0.000, 0.000], [0.000, 0.500, 0.000], [0.000, 0.000, 0.000]], "spacegroup": "P4/mmm"}


8.
{"formula": "CsVOs3", "functional": "PBE", "state": "optimized geometry", "lattice_angstrom": [[4.905, 0.000, 0.000], [0.000, 4.905, 0.000], [0.000, 0.000, 4.905]], "species": ["Cs", "Os", "Os", "Os", "V"], "fractional_positions": [[0.000, 0.000, 0.000], [0.000, 0.500, 0.000], [0.000, 0.000, 0.500], [0.500, 0.000, 0.000], [0.500, 0.500, 0.500]], "spacegroup": "Pm-3m", "de_polymorph_ev_per_atom": 1.8995}


9.
{"formula": "CsVOs3", "functional": "PBE", "state": "optimized geometry", "lattice_angstrom": [[4.737, 0.000, 0.000], [0.000, 4.737, 0.000], [0.000, 0.000, 4.737]], "species": ["Cs", "Os", "Os", "Os", "V"], "fractional_positions": [[0.500, 0.500, 0.500], [0.000, 0.500, 0.000], [0.000, 0.000, 0.500], [0.500, 0.000, 0.000], [0.000, 0.000, 0.000]], "spacegroup": "Pm-3m", "de_polymorph_ev_per_atom": 0.0000}


10.
{"formula": "Cs2V2Os", "functional": "PBE", "state": "optimized geometry", "lattice_angstrom": [[-0.418, 3.215, -0.708], [-3.166, -0.197, 0.977], [1.736, 4.622, 12.194]], "species": ["Cs", "Cs", "Os", "V", "V"], "fractional_positions": [[0.395, 0.395, 0.210], [0.605, 0.605, 0.790], [0.000, 0.000, 0.000], [0.750, 0.250, 0.500], [0.250, 0.750, 0.500]], "spacegroup": "I4/mmm"}


11.
{"formula": "CsV2Os2", "functional": "PBE", "state": "optimized geometry", "lattice_angstrom": [[-4.336, 6.004, -2.684], [-5.794, -1.967, 4.961], [1.157, 1.750, 2.045]], "species": ["Cs", "Cs", "Os", "Os", "Os", "Os", "V", "V", "V", "V"], "fractional_positions": [[0.000, 0.000, 0.000], [0.500, 0.500, 0.000], [0.133, 0.633, 0.500], [0.633, 0.867, 0.500], [0.867, 0.367, 0.500], [0.367, 0.133, 0.500], [0.365, 0.865, 0.000], [0.865, 0.635, 0.000], [0.635, 0.135, 0.000], [0.135, 0.365, 0.000]], "spacegroup": "P4/mbm"}


12.
{"formula": "Cs3VOs", "functional": "PBE", "state": "optimized geometry", "lattice_angstrom": [[6.741, 0.000, 0.000], [0.000, 6.741, 0.000], [0.000, 0.000, 6.741]], "species": ["Cs", "Cs", "Cs", "Os", "V"], "fractional_positions": [[0.000, 0.500, 0.000], [0.000, 0.000, 0.500], [0.500, 0.000, 0.000], [0.500, 0.500, 0.500], [0.000, 0.000, 0.000]], "spacegroup": "Pm-3m"}


13.
{"formula": "Cs2VOs", "functional": "PBE", "state": "optimized geometry", "lattice_angstrom": [[2.299, -5.334, 0.987], [3.251, -0.961, 4.819], [-2.111, -3.358, 4.357]], "species": ["Cs", "Cs", "Os", "V"], "fractional_positions": [[0.250, 0.250, 0.250], [0.750, 0.750, 0.750], [0.500, 0.500, 0.500], [0.000, 0.000, 0.000]], "spacegroup": "Fm-3m"}


14.
{"formula": "CsV2Os", "functional": "PBE", "state": "optimized geometry", "lattice_angstrom": [[3.255, -1.330, 3.004], [-1.217, -1.748, 4.104], [0.636, -4.495, 0.879]], "species": ["Cs", "Os", "V", "V"], "fractional_positions": [[0.000, 0.000, 0.000], [0.500, 0.500, 0.500], [0.250, 0.250, 0.250], [0.750, 0.750, 0.750]], "spacegroup": "Fm-3m"}


15.
{"formula": "CsOsW2", "functional": "PBE", "state": "optimized geometry", "lattice_angstrom": [[0.000, 3.310, 3.310], [3.310, 0.000, 3.310], [3.310, 3.310, 0.000]], "species": ["Cs", "Os", "W", "W"], "fractional_positions": [[0.000, 0.000, 0.000], [0.500, 0.500, 0.500], [0.250, 0.250, 0.250], [0.750, 0.750, 0.750]], "spacegroup": "Fm-3m", "de_polymorph_ev_per_atom": 0.0000}


16.
{"formula": "CsOs2W", "functional": "PBE", "state": "optimized geometry", "lattice_angstrom": [[0.000, 3.340, 3.340], [3.340, 0.000, 3.340], [3.340, 3.340, 0.000]], "species": ["Cs", "Os", "Os", "W"], "fractional_positions": [[0.000, 0.000, 0.000], [0.250, 0.250, 0.250], [0.750, 0.750, 0.750], [0.500, 0.500, 0.500]], "spacegroup": "Fm-3m", "de_polymorph_ev_per_atom": 0.2838}


17.
{"formula": "CsOs2W", "functional": "PBE", "state": "optimized geometry", "lattice_angstrom": [[7.487, 0.000, 0.000], [0.000, 7.487, 0.000], [3.744, 3.744, 3.396]], "species": ["Cs", "Cs", "Os", "Os", "Os", "Os", "W", "W"], "fractional_positions": [[0.500, 0.500, 0.000], [0.250, 0.750, 0.500], [0.695, 0.125, 0.250], [0.055, 0.625, 0.250], [0.375, 0.305, 0.750], [0.875, 0.945, 0.750], [0.000, 0.000, 0.000], [0.750, 0.250, 0.500]], "spacegroup": "I-42d", "de_polymorph_ev_per_atom": 0.0000}


18.
{"formula": "CsOsW2", "functional": "PBE", "state": "optimized geometry", "lattice_angstrom": [[7.677, 0.000, 0.000], [0.000, 7.677, 0.000], [3.839, 3.839, 3.205]], "species": ["Cs", "Cs", "Os", "Os", "W", "W", "W", "W"], "fractional_positions": [[0.500, 0.500, 0.000], [0.250, 0.750, 0.500], [0.000, 0.000, 0.000], [0.750, 0.250, 0.500], [0.698, 0.125, 0.250], [0.052, 0.625, 0.250], [0.375, 0.302, 0.750], [0.875, 0.948, 0.750]], "spacegroup": "I-42d", "de_polymorph_ev_per_atom": 0.1334}


19.
{"formula": "Cs3YOs", "functional": "PBE", "state": "optimized geometry", "lattice_angstrom": [[-3.342, 2.517, -4.601], [-5.023, -3.106, 1.949], [-1.509, 4.763, 3.702]], "species": ["Cs", "Cs", "Cs", "Y", "Os"], "fractional_positions": [[0.000, 0.500, 0.000], [0.000, 0.000, 0.500], [0.500, 0.000, 0.000], [0.500, 0.500, 0.500], [0.000, 0.000, 0.000]], "spacegroup": "Pm-3m", "de_polymorph_ev_per_atom": 0.0000}


20.
{"formula": "Cs2YOs", "functional": "PBE", "state": "optimized geometry", "lattice_angstrom": [[-1.395, -2.145, 4.859], [1.161, 2.710, 4.633], [-4.045, 2.267, 2.942]], "species": ["Cs", "Cs", "Y", "Os"], "fractional_positions": [[0.250, 0.250, 0.250], [0.750, 0.750, 0.750], [0.000, 0.000, 0.000], [0.500, 0.500, 0.500]], "spacegroup": "Fm-3m"}


Number 1: total moment 0.006 μB per atom, E_form 0.75 eV per atom. Number 2: total moment 0.627 μB per atom, E_form 1.31 eV per atom. Number 3: total moment 0.000 μB per atom, E_form 3.69 eV per atom. Number 4: total moment 0.077 μB per atom, E_form 2.53 eV per atom. Number 5: total moment 0.278 μB per atom, E_form 1.17 eV per atom. Number 6: total moment 1.103 μB per atom, E_form 3.75 eV per atom. Number 7: total moment 0.000 μB per atom, E_form 0.80 eV per atom. Number 8: total moment 0.182 μB per atom, E_form 3.94 eV per atom. Number 9: total moment 0.436 μB per atom, E_form 2.04 eV per atom. Number 10: total moment 0.436 μB per atom, E_form 1.65 eV per atom. Number 11: total moment 0.000 μB per atom, E_form 0.77 eV per atom. Number 12: total moment 1.533 μB per atom, E_form 2.03 eV per atom. Number 13: total moment 1.624 μB per atom, E_form 2.27 eV per atom. Number 14: total moment 0.341 μB per atom, E_form 1.61 eV per atom. Number 15: total moment 0.000 μB per atom, E_form 2.01 eV per atom. Number 16: total moment 0.000 μB per atom, E_form 2.16 eV per atom. Number 17: total moment 0.000 μB per atom, E_form 1.88 eV per atom. Number 18: total moment 0.000 μB per atom, E_form 2.14 eV per atom. Number 19: total moment 0.000 μB per atom, E_form 1.64 eV per atom. Number 20: total moment 0.000 μB per atom, E_form 1.76 eV per atom.